DFT (GGA-PBE) results for a geometry-optimized CaMgRe2 structure.

## Properties
Symmetry: Cmm2
E_form in eV/atom: 0.526

Structure (extended XYZ):
```
4
Lattice="1.6033 -2.3343 0.0000 1.6033 2.3343 0.0000 0.0000 0.0000 9.9212" Properties=species:S:1:pos:R:3 pbc="T T T"
Ca 0.0000 0.0000 0.0000
Mg 1.6033 0.0000 6.9022
Re 0.0000 0.0000 4.5732
Re 1.6033 0.0000 2.5255
```

=====

DFT (GGA-PBE) results for a geometry-optimized CaAcDySn structure.

## Properties
Symmetry: F-43m
E_form in eV/atom: -0.099

Structure (extended XYZ):
```
4
Lattice="0.0000 4.0073 4.0073 4.0073 0.0000 4.0073 4.0073 4.0073 0.0000" Properties=species:S:1:pos:R:3 pbc="T T T"
Ca 0.0000 0.0000 0.0000
Ac 6.0109 6.0109 6.0109
Dy 4.0073 4.0073 4.0073
Sn 2.0036 2.0036 2.0036
```

=====

DFT (GGA-PBE) results for a geometry-optimized Re2RuSe structure.

## Properties
Formation energy (no corrections) in meV/atom: 744
Symmetry: Cmmm

Structure (extended XYZ):
```
4
Lattice="1.4170 -2.3589 0.0000 1.4170 2.3589 0.0000 0.0000 0.0000 9.4090" Properties=species:S:1:pos:R:3 pbc="T T T"
Re 0.0000 0.0000 2.2225
Re 0.0000 0.0000 7.1866
Ru 1.4170 0.0000 0.0000
Se 1.4170 0.0000 4.7045
```

=====

DFT (GGA-PBE) results for a geometry-optimized LaSmCdPd structure.

## Properties
Symmetry: F-43m
E_form in eV/atom: -0.480

Structure (extended XYZ):
```
4
Lattice="0.0000 3.7548 3.7548 3.7548 0.0000 3.7548 3.7548 3.7548 0.0000" Properties=species:S:1:pos:R:3 pbc="T T T"
La 0.0000 0.0000 0.0000
Sm 3.7548 3.7548 3.7548
Cd 1.8774 1.8774 1.8774
Pd 5.6322 5.6322 5.6322
```

=====

DFT (GGA-PBE) results for a geometry-optimized La2Sn3Pb3 structure.

## Properties
Symmetry: Pmmm
E_form in eV/atom: -0.505

Structure (extended XYZ):
```
8
Lattice="4.8754 0.0000 0.0000 0.0000 4.8854 0.0000 0.0000 0.0000 9.8053" Properties=species:S:1:pos:R:3 pbc="T T T"
La 0.0000 0.0000 2.4032
La 0.0000 0.0000 7.4021
Sn 2.4377 0.0000 0.0000
Sn 2.4377 2.4427 2.4195
Sn 2.4377 2.4427 7.3858
Pb 0.0000 2.4427 0.0000
Pb 0.0000 2.4427 4.9026
Pb 2.4377 0.0000 4.9026
```

=====

DFT (GGA-PBE) results for a geometry-optimized Cs3SnGe2Cl9 structure.

## Properties
Formation energy (no corrections) in meV/atom: -1369
Symmetry: P-3m1

Structure (extended XYZ):
```
15
Lattice="7.6767 0.0000 0.0000 -3.8383 6.6482 0.0000 0.0000 0.0000 9.4173" Properties=species:S:1:pos:R:3 pbc="T T T"
Cs 0.0000 0.0000 0.0000
Cs 0.0000 4.4321 6.3274
Cs 3.8384 2.2161 3.0899
Sn 0.0000 0.0000 4.7087
Ge 0.0000 4.4321 1.5126
Ge 3.8384 2.2161 7.9047
Cl -1.9192 3.3241 0.0000
Cl 0.0000 2.2827 3.0736
Cl -1.8614 5.5068 3.0736
Cl 1.9769 1.1414 6.3437
Cl 3.8383 0.0000 0.0000
Cl 1.9192 3.3241 0.0000
Cl 1.8614 5.5068 3.0736
Cl 5.6998 1.1414 6.3437
Cl 3.8383 4.3655 6.3437
```

=====

DFT (GGA-PBE) results for a geometry-optimized TlCuMo structure.

## Properties
Symmetry: Fmm2
E_form in eV/atom: 0.625

Structure (extended XYZ):
```
3
Lattice="0.0000 2.0606 6.3963 1.9912 0.0000 6.3963 1.9912 2.0606 0.0000" Properties=species:S:1:pos:R:3 pbc="T T T"
Tl 0.0000 0.0000 0.0000
Cu 1.9912 2.0606 8.6312
Mo 1.9912 2.0606 4.0239
```

=====

DFT (GGA-PBE) results for a geometry-optimized Zr6FePd3 structure.

## Properties
Symmetry: P2_1/c
E_form in eV/atom: -0.265

Structure (extended XYZ):
```
20
Lattice="5.3949 0.0000 0.0000 0.0000 8.1174 0.0000 -5.2508 0.0000 9.1835" Properties=species:S:1:pos:R:3 pbc="T T T"
Zr -2.1146 1.3575 4.2234
Zr -4.7400 2.7012 8.8152
Zr -0.3698 5.5972 4.0759
Zr -2.9952 6.5789 8.6677
Zr 0.7981 0.5033 2.4229
Zr -1.8274 3.5554 7.0147
Zr 1.9715 4.5620 2.1688
Zr -0.6540 7.6141 6.7606
Zr 3.1393 1.5385 0.5159
Zr 0.5139 2.5202 5.1076
Zr 4.8841 5.4162 0.3684
Zr 2.2587 6.7599 4.9601
Fe 0.0721 0.0000 4.5918
Fe 2.6975 4.0587 0.0000
Pd 0.0000 0.0000 0.0000
Pd -2.6254 4.0587 4.5918
Pd -3.3978 0.8074 6.9762
Pd -0.7724 3.2513 2.3844
Pd 0.9165 4.8661 6.7991
Pd 3.5419 7.3100 2.2074
```

=====

DFT (GGA-PBE) results for a geometry-optimized CsHf2N2 structure.

## Properties
Formation energy (no corrections) in meV/atom: 413
Symmetry: P4/mbm

Structure (extended XYZ):
```
10
Lattice="7.2192 0.0000 0.0000 0.0000 7.2192 0.0000 0.0000 0.0000 3.0561" Properties=species:S:1:pos:R:3 pbc="T T T"
Cs 0.0000 0.0000 0.0000
Cs 3.6096 3.6096 0.0000
Hf 0.9505 2.6591 1.5281
Hf 2.6591 6.2687 1.5281
Hf 4.5602 0.9505 1.5281
Hf 6.2687 4.5602 1.5281
N 0.8521 4.4617 0.0000
N 2.7575 0.8521 0.0000
N 4.4617 6.3671 0.0000
N 6.3671 2.7575 0.0000
```

=====

DFT (GGA-PBE) results for a geometry-optimized CsNdSiO4 structure.

## Properties
Formation energy (no corrections) in meV/atom: -2841
Symmetry: P2_1/m

Structure (extended XYZ):
```
14
Lattice="5.8250 0.0000 0.0000 0.0000 5.8309 0.0000 -2.4497 0.0000 7.7497" Properties=species:S:1:pos:R:3 pbc="T T T"
Cs 0.1243 1.4577 3.3163
Cs 3.2510 4.3732 4.4334
Nd -0.7374 1.4577 7.4091
Nd 4.1127 4.3732 0.3406
Si 1.1686 4.3732 1.1830
Si 2.2067 1.4577 6.5667
O -1.8600 4.3732 7.3820
O -0.1389 4.3732 2.1695
O 2.1990 3.0771 1.3383
O 2.1990 5.6693 1.3383
O 1.1763 0.1616 6.4114
O 1.1763 2.7538 6.4114
O 3.5142 1.4577 5.5802
O 5.2354 1.4577 0.3677
```

=====

DFT (GGA-PBE) results for a geometry-optimized RbScNb2Ga structure.

## Properties
Symmetry: P4/mmm
E_form in eV/atom: 1.159

Structure (extended XYZ):
```
5
Lattice="5.0672 0.0000 0.0000 0.0000 5.0672 0.0000 0.0000 0.0000 5.3151" Properties=species:S:1:pos:R:3 pbc="T T T"
Rb 0.0000 0.0000 0.0000
Sc 2.5336 2.5336 0.0000
Nb 0.0000 2.5336 2.6575
Nb 2.5336 0.0000 2.6575
Ga 2.5336 2.5336 2.6575
```

=====

DFT (GGA-PBE) results for a geometry-optimized CdFe2I8 structure.

## Properties
Formation energy (no corrections) in meV/atom: -245
Symmetry: C2/m

Structure (extended XYZ):
```
11
Lattice="6.6704 -5.5760 0.0000 6.6704 5.5760 0.0000 -0.0847 0.0000 7.2601" Properties=species:S:1:pos:R:3 pbc="T T T"
Cd 0.0000 0.0000 0.0000
Fe 2.8431 0.0000 1.0298
Fe 10.4131 0.0000 6.2303
I 5.1652 3.5339 5.4967
I 2.5449 0.0000 5.7072
I 8.0909 3.5339 1.7635
I 5.1750 0.0000 1.8957
I 8.0812 0.0000 5.3644
I 5.1652 -3.5339 5.4967
I 10.7112 0.0000 1.5529
I 8.0909 -3.5339 1.7635
```

=====

DFT (GGA-PBE) results for a geometry-optimized KScPb2 structure.

## Properties
Symmetry: P4/mmm
E_form in eV/atom: -0.268

Structure (extended XYZ):
```
4
Lattice="3.4727 0.0000 0.0000 0.0000 3.4727 0.0000 0.0000 0.0000 9.8201" Properties=species:S:1:pos:R:3 pbc="T T T"
K 0.0000 0.0000 0.0000
Sc 0.0000 0.0000 4.9100
Pb 1.7363 1.7363 2.7915
Pb 1.7363 1.7363 7.0286
```

=====

DFT (GGA-PBE) results for a geometry-optimized MgFeI2N structure.

## Properties
Formation energy (no corrections) in meV/atom: 170
Symmetry: P4/mmm

Structure (extended XYZ):
```
5
Lattice="5.4605 0.0000 0.0000 0.0000 5.4605 0.0000 0.0000 0.0000 3.5459" Properties=species:S:1:pos:R:3 pbc="T T T"
Mg 0.0000 0.0000 0.0000
Fe 2.7303 2.7303 1.7729
I 0.0000 2.7303 1.7729
I 2.7303 0.0000 1.7729
N 2.7303 2.7303 0.0000
```

=====

DFT (GGA-PBE) results for a geometry-optimized VBiSeN2 structure.

## Properties
Formation energy (no corrections) in meV/atom: 1593
Symmetry: P4/mmm

Structure (extended XYZ):
```
5
Lattice="4.2522 0.0000 0.0000 0.0000 4.2522 0.0000 0.0000 0.0000 5.7459" Properties=species:S:1:pos:R:3 pbc="T T T"
V 0.0000 0.0000 0.0000
Bi 2.1261 2.1261 2.8730
Se 2.1261 2.1261 0.0000
N 0.0000 2.1261 2.8730
N 2.1261 0.0000 2.8730
```

=====

DFT (GGA-PBE) results for a geometry-optimized MnTc2Ni structure.

## Properties
Symmetry: P4mm
E_form in eV/atom: 0.071

Structure (extended XYZ):
```
4
Lattice="3.1099 0.0000 0.0000 0.0000 3.1099 0.0000 0.0000 0.0000 5.4702" Properties=species:S:1:pos:R:3 pbc="T T T"
Mn 0.0000 0.0000 0.0000
Tc 0.0000 0.0000 2.5188
Tc 1.5550 1.5550 3.9498
Ni 1.5550 1.5550 1.1238
```

=====

DFT (GGA-PBE) results for a geometry-optimized BiSb3P structure.

## Properties
Formation energy (no corrections) in meV/atom: 1435
Symmetry: Pm-3m

Structure (extended XYZ):
```
5
Lattice="5.7662 0.0000 0.0000 0.0000 5.7662 0.0000 0.0000 0.0000 5.7662" Properties=species:S:1:pos:R:3 pbc="T T T"
Bi 0.0000 0.0000 0.0000
Sb 0.0000 0.0000 2.8831
Sb 0.0000 2.8831 0.0000
Sb 2.8831 0.0000 0.0000
P 2.8831 2.8831 2.8831
```

=====

DFT (GGA-PBE) results for a geometry-optimized Ta3TiTc4 structure.

## Properties
Symmetry: Pmmm
E_form in eV/atom: -0.514

Structure (extended XYZ):
```
8
Lattice="3.1712 0.0000 0.0000 0.0000 4.4831 0.0000 0.0000 0.0000 8.9473" Properties=species:S:1:pos:R:3 pbc="T T T"
Ta 0.0000 0.0000 0.0000
Ta 0.0000 2.2416 2.2736
Ta 0.0000 2.2416 6.6737
Ti 0.0000 0.0000 4.4736
Tc 1.5856 0.0000 2.2455
Tc 1.5856 0.0000 6.7018
Tc 1.5856 2.2416 0.0000
Tc 1.5856 2.2416 4.4736
```

=====

DFT (GGA-PBE) results for a geometry-optimized Y2Ho7Er2 structure.

## Properties
Symmetry: C2/m
E_form in eV/atom: 0.165

Structure (extended XYZ):
```
11
Lattice="5.5848 -5.6851 0.0000 5.5848 5.6851 0.0000 -2.3911 0.0000 5.5114" Properties=species:S:1:pos:R:3 pbc="T T T"
Y 5.5848 3.2390 0.0000
Y 5.5848 -3.2390 0.0000
Ho -1.1956 0.0000 2.7557
Ho 2.8549 3.0122 1.7904
Ho 2.4148 0.0000 0.4641
Ho 5.9236 3.0122 3.7210
Ho 2.8549 -3.0122 1.7904
Ho 6.3637 0.0000 5.0473
Ho 5.9236 -3.0122 3.7210
Er 2.9328 0.0000 3.8373
Er 5.8457 0.0000 1.6741
```

=====

DFT (GGA-PBE) results for a geometry-optimized Sm2Al9Pt3 structure.

## Properties
Symmetry: C2/c
E_form in eV/atom: -0.853

Structure (extended XYZ):
```
28
Lattice="6.6570 -3.8338 0.0000 6.6570 3.8338 0.0000 -4.4236 0.0000 9.5418" Properties=species:S:1:pos:R:3 pbc="T T T"
Sm 1.1442 0.6467 2.3835
Sm -1.0676 -0.6467 7.1544
Sm 9.9580 0.6467 2.3874
Sm 7.7462 -0.6467 7.1583
Al 5.5437 3.1899 0.6931
Al 5.5585 3.1899 4.0778
Al 1.1320 0.6345 5.4435
Al 4.1794 1.4129 2.3972
Al 1.1276 0.6437 8.9883
Al 3.3438 -0.6345 0.6726
Al 3.3393 0.9599 7.1563
Al 6.9227 1.4129 2.3737
Al 3.3394 -0.6437 4.2174
Al 5.5510 0.6437 5.3244
Al 1.9676 -1.4129 7.1681
Al 5.5511 -0.9599 2.3854
Al 5.5466 0.6345 8.8692
Al 7.7628 -0.6437 0.5535
Al 4.7109 -1.4129 7.1446
Al 7.7584 -0.6345 4.0983
Al 3.3319 -3.1899 5.4640
Al 3.3467 -3.1899 8.8487
Pt 3.3285 1.9169 0.0000
Pt 3.3164 1.9612 4.7687
Pt 7.7857 1.9612 0.0022
Pt 1.1167 -1.9169 4.7709
Pt 1.1046 -1.9612 9.5396
Pt 5.5739 -1.9612 4.7731
```

=====

Number 1: V 74 Å³/f.u.. Number 2: V 129 Å³/f.u.. Number 3: V 63 Å³/f.u.. Number 4: V 106 Å³/f.u.. Number 5: V 234 Å³/f.u.. Number 6: V 481 Å³/f.u.. Number 7: V 52 Å³/f.u.. Number 8: V 201 Å³/f.u.. Number 9: V 80 Å³/f.u.. Number 10: V 132 Å³/f.u.. Number 11: V 136 Å³/f.u.. Number 12: V 540 Å³/f.u.. Number 13: V 118 Å³/f.u.. Number 14: V 106 Å³/f.u.. Number 15: V 104 Å³/f.u.. Number 16: V 53 Å³/f.u.. Number 17: V 192 Å³/f.u.. Number 18: V 127 Å³/f.u.. Number 19: V 350 Å³/f.u.. Number 20: V 244 Å³/f.u..